Below is a relaxed Rb2AgMo crystal, with properties calculated at the GGA-PBE level.

Unit cell a=11.3849 b=9.8261 c=4.8253 alpha=90.00 beta=90.00 gamma=90.00
Last column: nearest neighbours and their distance in Å.
Space group Cmcm (No. 63)
Asymmetric unit:
Rb  0.1855  0.1384  0.2500 [8 per cell]  3 Ag 3.37-3.77, 4 Rb 3.58-3.64
Ag  0.0000  0.2423  0.7500 [4 per cell]  2 Mo 2.81
Mo  0.0000  0.5000  0.0000 [4 per cell]  2 Mo 2.41

total magnetic moment: 0.049 μB/atom
energy: -49.169 eV for the cell shown

Below is a relaxed ScFeCoB crystal, with properties calculated at the GGA-PBE level.

Unit cell a=5.6053 b=5.6053 c=5.6053 alpha=90.00 beta=90.00 gamma=90.00
Last column: nearest neighbours and their distance in Å.
Space group F-43m (No. 216)
Asymmetric unit:
Sc  0.0000  0.0000  0.0000 [4 per cell]  4 Co 2.43, 4 Fe 2.43
Fe  0.2500  0.2500  0.2500 [4 per cell]  4 Sc 2.43, 4 B 2.43
Co  0.2500  0.2500  0.7500 [4 per cell]  4 B 2.43, 4 Sc 2.43
B  0.0000  0.0000  0.5000 [4 per cell]  4 Fe 2.43, 4 Co 2.43

total magnetic moment: 0.225 μB/atom
polymorph energy (0 for the lowest one): 0.0 meV/atom
energy: -111.706 eV for the cell shown

Below is a relaxed MgCdSeO crystal, with properties calculated at the GGA-PBE level.

Unit cell a=5.8879 b=3.8170 c=13.2615 alpha=90.00 beta=90.00 gamma=90.00
Last column: nearest neighbours and their distance in Å.
Space group Pnma (No. 62)
Asymmetric unit:
Mg  0.1207  0.2500  0.1957 [4 per cell]  2 O 1.93
Cd  0.2301  0.7500  0.4149 [4 per cell]  2 O 2.33
Se  0.2367  0.2500  0.5790 [4 per cell]  2 Mg 2.60, 3 Cd 2.75-2.89
O  0.2062  0.7500  0.8188 [4 per cell]  2 Mg 1.93

polymorph energy (0 for the lowest one): 129.9 meV/atom
energy: -64.925 eV for the cell shown

Below is a relaxed NpSb crystal, with properties calculated at the GGA-PBE level.

Unit cell a=5.4966 b=4.4463 c=8.0331 alpha=90.00 beta=90.00 gamma=90.00
Last column: nearest neighbours and their distance in Å.
Space group Pmma (No. 51)
Asymmetric unit:
Np  0.0000  0.0000  0.0000 [2 per cell]  6 Np 2.70-2.75
Np  0.2500  0.5000  0.0853 [2 per cell]  4 Np 2.70, 1 Sb 3.00
Sb  0.2500  0.0000  0.3557 [2 per cell]  4 Np 3.11-3.17
Sb  0.2500  0.5000  0.7118 [2 per cell]  3 Np 3.00-3.19

total magnetic moment: 0.168 μB/atom
polymorph energy (0 for the lowest one): 393.8 meV/atom
energy: -66.933 eV for the cell shown

Below is a relaxed Pm2Lu2O5 crystal, with properties calculated at the GGA-PBE level.

Unit cell a=4.2110 b=4.2110 c=7.6124 alpha=90.00 beta=90.00 gamma=90.00
Last column: nearest neighbours and their distance in Å.
Space group P4/mmm (No. 123)
Asymmetric unit:
Pm  0.0000  0.0000  0.0000 [1 per cell]  8 O 2.79
Pm  0.0000  0.0000  0.5000 [1 per cell]  12 O 2.88-2.98
Lu  0.5000  0.5000  0.2307 [2 per cell]  5 O 2.05-2.11
O  0.0000  0.5000  0.2412 [4 per cell]  2 Lu 2.11
O  0.5000  0.5000  0.5000 [1 per cell]  2 Lu 2.05

total magnetic moment: 0.000 μB/atom
polymorph energy (0 for the lowest one): 0.0 meV/atom
energy: -69.118 eV for the cell shown

Below is a relaxed Hf2CuOs crystal, with properties calculated at the GGA-PBE level.

Unit cell a=4.6130 b=4.6130 c=3.2177 alpha=90.00 beta=90.00 gamma=90.00
Last column: nearest neighbours and their distance in Å.
Space group P4/mmm (No. 123)
Asymmetric unit:
Hf  0.0000  0.5000  0.0000 [2 per cell]  4 Os 2.81, 4 Cu 2.81
Cu  0.0000  0.0000  0.5000 [1 per cell]  8 Hf 2.81
Os  0.5000  0.5000  0.5000 [1 per cell]  8 Hf 2.81

total magnetic moment: 0.000 μB/atom
polymorph energy (0 for the lowest one): 3.4 meV/atom
energy: -36.551 eV for the cell shown

Below is a relaxed Sc2CuOs crystal, with properties calculated at the GGA-PBE level.

Unit cell a=4.5617 b=4.5617 c=6.4393 alpha=90.00 beta=90.00 gamma=90.00
Last column: nearest neighbours and their distance in Å.
Space group I4/mmm (No. 139)
Asymmetric unit:
Sc  0.0000  0.5000  0.2500 [4 per cell]  4 Os 2.79, 4 Cu 2.79
Cu  0.0000  0.0000  0.0000 [2 per cell]  8 Sc 2.79
Os  0.0000  0.0000  0.5000 [2 per cell]  8 Sc 2.79

total magnetic moment: 0.002 μB/atom
polymorph energy (0 for the lowest one): 0.0 meV/atom
energy: -58.476 eV for the cell shown

Below is a relaxed Tb4Cd5Ir2 crystal, with properties calculated at the GGA-PBE level.

Unit cell a=7.6752 b=3.6553 c=9.6001 alpha=90.00 beta=94.35 gamma=90.00
Last column: nearest neighbours and their distance in Å.
Space group P2/m (No. 10)
Asymmetric unit:
Tb  0.1703  0.0000  0.3513 [2 per cell]  2 Ir 2.76
Tb  0.2143  0.0000  0.9452 [2 per cell]  4 Ir 2.90-2.95
Cd  0.1867  0.5000  0.6520 [2 per cell]  2 Cd 2.91-3.11, 1 Ir 2.91
Cd  0.4547  0.5000  0.1734 [2 per cell]  1 Ir 2.91, 2 Cd 3.11-3.13
Cd  0.5000  0.5000  0.5000 [1 per cell]  4 Cd 2.91-3.13
Ir  0.0749  0.5000  0.1435 [2 per cell]  6 Tb 2.76-2.95, 1 Ir 2.90, 2 Cd 2.91

total magnetic moment: 0.001 μB/atom
energy: -46.173 eV for the cell shown